(1)
This record from Alexandria describes an optimized crystal structure of KFeBi2Cl. The functional is GGA-PBE.

SG ... P4/mmm (123)
Density of states at the Fermi level ... 1.522 states/eV per atom
Volume ... 32.98 A^3/atom
E_form (uncorrected) ... 145.59 kJ per mole of atoms
Total moment ... 0.548 μB/atom

Cell lengths 6.107, 4.421, 6.107 Å; angles 90.00, 90.00, 90.00 degrees
Each line ends with the local moment (μB).
Atoms (fractional coordinates):
K1 0.000 0.000 0.000  -0.03
Cl1 0.500 0.500 0.500  0.00
Bi1 0.000 0.000 0.500  -0.03
Bi2 0.500 0.000 0.000  -0.03
Fe1 0.000 0.500 0.000  2.71

***

(2)
This record from Alexandria describes an optimized crystal structure of Fe2AuS. The functional is GGA-PBE.

SG ... I-42d (122)
Density of states at the Fermi level ... 0.719 states/eV per atom
Volume ... 17.74 A^3/atom
E_form (uncorrected) ... 32.97 kJ per mole of atoms
Total moment ... 1.359 μB/atom

Cell lengths 4.479, 4.479, 7.750 Å; angles 73.20, 73.20, 90.00 degrees
Each line ends with the local moment (μB).
Atoms (fractional coordinates):
S1 0.500 0.500 0.000  0.00
S2 0.250 0.750 0.500  0.00
Au1 0.000 0.000 0.000  0.14
Au2 0.750 0.250 0.500  0.14
Fe1 0.521 0.125 0.250  2.58
Fe2 0.229 0.625 0.250  2.58
Fe3 0.375 0.479 0.750  2.58
Fe4 0.875 0.771 0.750  2.58

***

(3)
This record from Alexandria describes an optimized crystal structure of DyBeOs. The functional is GGA-PBE.

Distance to the lowest polymorph of the same formula ... 82.2 meV/atom
SG ... P-6m2 (187)
Density of states at the Fermi level ... 0.615 states/eV per atom
Calculated formation energy ... -0.154 eV/atom
Volume ... 17.39 A^3/atom
Total moment ... 0.000 μB/atom

Cell lengths 3.774, 3.996, 3.996 Å; angles 120.00, 90.00, 90.00 degrees
Atoms (fractional coordinates):
Be1 0.167 0.667 0.333
Os1 0.167 0.000 0.000
Dy1 0.667 0.333 0.667

***

(4)
This record from Alexandria describes an optimized crystal structure of La6PmDy2Sc. The functional is GGA-PBE.

SG ... C2/m (12)
Density of states at the Fermi level ... 1.907 states/eV per atom
Calculated formation energy ... 0.213 eV/atom
Volume ... 35.10 A^3/atom
Total moment ... 0.000 μB/atom

Cell lengths 8.872, 7.032, 6.791 Å; angles 121.18, 102.29, 90.00 degrees
Atoms (fractional coordinates):
La1 0.403 0.636 0.272
La2 0.199 0.084 0.680
La3 0.801 0.404 0.320
La4 0.199 0.596 0.680
La5 0.801 0.916 0.320
La6 0.597 0.364 0.728
Pm1 0.500 0.000 0.000
Dy1 0.163 0.097 0.194
Dy2 0.837 0.903 0.806
Sc1 0.000 0.500 0.000

***

(5)
This record from Alexandria describes an optimized crystal structure of RbAgOs2C. The functional is GGA-PBE.

SG ... P4/mmm (123)
Density of states at the Fermi level ... 1.987 states/eV per atom
Calculated formation energy ... 3.608 eV/atom
Volume ... 30.55 A^3/atom
Total moment ... 1.035 μB/atom

Cell lengths 4.987, 6.140, 4.987 Å; angles 90.00, 90.00, 90.00 degrees
Each line ends with the local moment (μB).
Atoms (fractional coordinates):
C1 0.500 0.500 0.500  -0.07
Os1 0.000 0.000 0.500  2.81
Os2 0.500 0.000 0.000  1.91
Rb1 0.000 0.500 0.000  -0.01
Ag1 0.000 0.000 0.000  0.14

***

(6)
This record from Alexandria describes an optimized crystal structure of DySn2Cl8. The functional is GGA-PBE.

SG ... C2/m (12)
Density of states at the Fermi level ... 0.669 states/eV per atom
Volume ... 33.22 A^3/atom
E_form (uncorrected) ... -130.16 kJ per mole of atoms
Total moment ... 0.000 μB/atom

Cell lengths 7.183, 7.557, 7.557 Å; angles 71.93, 73.60, 73.60 degrees
Atoms (fractional coordinates):
Dy1 0.000 0.000 0.000
Sn1 0.786 0.658 0.658
Sn2 0.214 0.342 0.342
Cl1 0.763 0.957 0.345
Cl2 0.237 0.655 0.043
Cl3 0.751 0.883 0.883
Cl4 0.249 0.117 0.117
Cl5 0.763 0.345 0.957
Cl6 0.237 0.043 0.655
Cl7 0.160 0.582 0.582
Cl8 0.840 0.418 0.418